[1]
A geometry-optimized MoIr2 structure. Source: Alexandria, functional PBE.

Calculated values
Crystal system ... hexagonal
Formation energy ... -0.09 eV per atom

a b c (Å): 4.3705 4.3705 2.7446
angles (deg): 90.00 90.00 120.00
Last column: nearest neighbours and their distance in Å.
Space group P6/mmm (No. 191)
One atom of each set of equivalent atoms:
Mo1 0.0000 0.0000 0.0000 [1 per cell]  2 Mo 2.74, 12 Ir 2.87
Ir1 0.3333 0.6667 0.5000 [2 per cell]  5 Ir 2.52-2.74



[2]
A geometry-optimized Rh2SeI structure. Source: Alexandria, functional PBE.

Calculated values
ΔE_f (raw) ... 0.350 eV per atom
Crystal system ... cubic
Energy above the lowest structure with this stoichiometry ... 0.980 eV/f.u.

a b c (Å): 6.5817 6.5817 6.5817
angles (deg): 90.00 90.00 90.00
Last column: nearest neighbours and their distance in Å.
Space group Fm-3m (No. 225)
One atom of each set of equivalent atoms:
Rh1 0.2500 0.2500 0.2500 [8 per cell]  4 Se 2.85, 4 I 2.85
Se1 0.0000 0.0000 0.0000 [4 per cell]  8 Rh 2.85
I1 0.0000 0.0000 0.5000 [4 per cell]  8 Rh 2.85



[3]
A geometry-optimized LiCa2SnMo structure. Source: Alexandria, functional PBE.

Calculated values
Crystal system ... tetragonal
Formation energy ... 0.66 eV per atom

a b c (Å): 5.3737 5.3737 4.7599
angles (deg): 90.00 90.00 90.00
Last column: nearest neighbours and their distance in Å.
Space group P4/mmm (No. 123)
One atom of each set of equivalent atoms:
Li1 0.0000 0.0000 0.0000 [1 per cell]  2 Sn 2.38
Ca1 0.0000 0.5000 0.0000 [2 per cell]  2 Li 2.69
Sn1 0.0000 0.0000 0.5000 [1 per cell]  2 Li 2.38
Mo1 0.5000 0.5000 0.5000 [1 per cell]  8 Ca 3.59, 4 Sn 3.80



[4]
A geometry-optimized Nd2PuC2Br2 structure. Source: Alexandria, functional PBE.

Calculated values
ΔE_f (raw) ... -0.671 eV per atom
Crystal system ... tetragonal

a b c (Å): 4.4633 4.4633 15.9247
angles (deg): 90.00 90.00 90.00
Last column: nearest neighbours and their distance in Å.
Space group I4/mmm (No. 139)
One atom of each set of equivalent atoms:
Nd1 0.0000 0.0000 0.1001 [4 per cell]  4 C 2.74
Pu1 0.0000 0.0000 0.5000 [2 per cell]  4 C 2.23
C1 0.0000 0.5000 0.0000 [4 per cell]  2 Pu 2.23
Br1 0.0000 0.0000 0.3117 [4 per cell]  1 Pu 3.00



Here are the calculated total DFT energy (no corrections) numbers, same order: -9.60, -4.58, -3.49, -7.19 (eV per atom).
Here are the calculated DOS(E_F) numbers, same order: 2.3, 19.7, 2.4, 11.3 (states/eV/cell).
Here are the calculated calculated density numbers, same order: 17.569, 9.591, 3.645, 7.499 (Mg/m³).